## Cs2AcTbO4 (PBE-GGA)

Data for an optimized crystal structure of Cs2AcTbO4.

Cell and atoms, written as extended XYZ:
```
8
Lattice="6.498 0.000 0.000 0.000 3.743 0.000 -2.169 0.000 6.961" Properties=species:S:1:pos:R:3 pbc="T T T"
Cs 0.000 0.000 0.000
Cs 3.249 1.871 0.000
Ac -1.085 1.871 3.481
Tb 2.164 0.000 3.481
O 0.132 0.000 4.662
O 1.178 1.871 2.312
O 3.151 1.871 4.649
O 4.197 0.000 2.299
```

Properties
Uncorrected energy (eV/cell): -50.53
Crystal system: monoclinic
V (A^3/atom): 21.2
Energy relative to the elements, uncorrected (eV per atom): -2.531
SG: P2/m


## Cs3Ac2TbO6 (PBE-GGA)

Data for an optimized crystal structure of Cs3Ac2TbO6.

Cell and atoms, written as extended XYZ:
```
12
Lattice="3.289 -5.703 0.000 3.289 5.703 0.000 -2.177 0.000 6.975" Properties=species:S:1:pos:R:3 pbc="T T T"
Cs 0.000 0.000 0.000
Cs 3.289 1.865 0.000
Cs 3.289 -1.865 0.000
Ac 2.201 3.800 3.488
Ac 2.201 -3.800 3.488
Tb 2.201 0.000 3.488
O 1.168 1.784 2.300
O 0.141 0.000 4.685
O 1.168 -1.784 2.300
O 3.234 1.784 4.676
O 4.261 0.000 2.290
O 3.234 -1.784 4.676
```

Properties
Uncorrected energy (eV/cell): -75.48
Crystal system: monoclinic
V (A^3/atom): 21.8
Energy relative to the elements, uncorrected (eV per atom): -2.527
SG: C2/m